First-principles (PBE-GGA) data for a relaxed AcZrSc crystal, as listed in Alexandria.

The structure in POSCAR format:
```
AcZrSc
1.0
3.505 0.000 0.000
-1.752 3.035 0.000
0.000 0.000 16.562
Ac Zr Sc
2 2 2
Cartesian
0.000 0.000 2.934 Ac
0.000 0.000 13.628 Ac
0.000 2.024 5.827 Zr
0.000 2.024 10.735 Zr
0.000 0.000 8.281 Sc
0.000 2.024 0.000 Sc
```

## Properties
For the formation energy from the elements, the calculation gives 267 meV per atom. Its density of states at the Fermi level is 9.8 states/eV per cell. The spin magnetization comes out at 0.001 μB/f.u. As for the offset from the most stable computed form: 0.068 eV/atom.